# CaAg4Mo, relaxed, DFT PBE-GGA
# * DFT total energy: -3.688 eV/atom
# * formation enthalpy at 0 K: 8.10 kcal/mol of atoms
# * density of states at the Fermi level: 0.942 states/eV/atom
# * total magnetic moment: 0.622 μB per atom
data_CaAg4Mo
_chemical_formula_sum 'Ca4 Ag16 Mo4'
_cell_length_a 7.894
_cell_length_b 7.894
_cell_length_c 7.894
_cell_angle_alpha 90.00
_cell_angle_beta 90.00
_cell_angle_gamma 90.00
_space_group_name_H-M_alt 'F -4 3 m'
_space_group_IT_number 216
_space_group_name_Hall 'F -4 2 3'
loop_
_atom_site_label
_atom_site_fract_x
_atom_site_fract_y
_atom_site_fract_z
Ca1 0.000 0.000 0.000
Ag1 0.125 0.125 0.375
Mo1 0.250 0.250 0.750